Run a
Crystalline SrCa3Mg at its relaxed geometry, computed with PBE.

```
data_SrCa3Mg
_chemical_formula_sum 'Sr2 Ca6 Mg2'
_cell_length_a 4.0384
_cell_length_b 11.6693
_cell_length_c 9.3495
_cell_angle_alpha 90.00
_cell_angle_beta 90.05
_cell_angle_gamma 90.00
_space_group_name_H-M_alt 'P 1 21/m 1'
_space_group_IT_number 11
loop_
_space_group_symop_operation_xyz
'x,y,z'
'-x,-y,-z'
'-x,y+1/2,-z'
'x,-y+1/2,z'
loop_
_atom_site_label
_atom_site_type_symbol
_atom_site_fract_x
_atom_site_fract_y
_atom_site_fract_z
Sr1 Sr 0.2496 0.2500 0.1165
Ca1 Ca 0.2477 0.0323 0.7127
Ca2 Ca 0.2560 0.7500 0.5212
Mg1 Mg 0.2508 0.7500 0.1790
```

Run b
Crystalline SrCa3Mg at its relaxed geometry, computed with PBE.

```
data_SrCa3Mg
_chemical_formula_sum 'Sr1 Ca3 Mg1'
_cell_length_a 6.3523
_cell_length_b 6.3523
_cell_length_c 6.3523
_cell_angle_alpha 90.00
_cell_angle_beta 90.00
_cell_angle_gamma 90.00
_space_group_name_H-M_alt 'P m -3 m'
_space_group_IT_number 221
_space_group_name_Hall '-P 4 2 3'
loop_
_atom_site_label
_atom_site_type_symbol
_atom_site_fract_x
_atom_site_fract_y
_atom_site_fract_z
Sr1 Sr 0.0000 0.0000 0.0000
Ca1 Ca 0.0000 0.0000 0.5000
Mg1 Mg 0.5000 0.5000 0.5000
```

Stability summary: most stable run a, least stable run b.

Run a
Crystalline SrCa3Mg at its relaxed geometry, computed with PBE.

```
data_SrCa3Mg
_chemical_formula_sum 'Sr1 Ca3 Mg1'
_cell_length_a 6.1579
_cell_length_b 6.1579
_cell_length_c 6.1579
_cell_angle_alpha 90.00
_cell_angle_beta 90.00
_cell_angle_gamma 90.00
_space_group_name_H-M_alt 'P m -3 m'
_space_group_IT_number 221
_space_group_name_Hall '-P 4 2 3'
loop_
_atom_site_label
_atom_site_type_symbol
_atom_site_fract_x
_atom_site_fract_y
_atom_site_fract_z
Sr1 Sr 0.0000 0.0000 0.0000
Ca1 Ca 0.0000 0.5000 0.5000
Mg1 Mg 0.5000 0.5000 0.5000
```

Run b
Crystalline SrCa3Mg at its relaxed geometry, computed with PBE.

```
data_SrCa3Mg
_chemical_formula_sum 'Sr3 Ca9 Mg3'
_cell_length_a 8.4664
_cell_length_b 8.4664
_cell_length_c 8.4664
_cell_angle_alpha 90.00
_cell_angle_beta 90.00
_cell_angle_gamma 90.00
_space_group_name_H-M_alt 'P m -3 m'
_space_group_IT_number 221
_space_group_name_Hall '-P 4 2 3'
loop_
_atom_site_label
_atom_site_type_symbol
_atom_site_fract_x
_atom_site_fract_y
_atom_site_fract_z
Sr1 Sr 0.0000 0.0000 0.5000
Ca1 Ca 0.0000 0.0000 0.0000
Ca2 Ca 0.2776 0.2776 0.2776
Mg1 Mg 0.0000 0.5000 0.5000
```

Stability summary: most stable run b, least stable run a.

Run a
Crystalline Sr2CaMg2 at its relaxed geometry, computed with PBE.

```
data_Sr2CaMg2
_chemical_formula_sum 'Sr4 Ca2 Mg4'
_cell_length_a 7.4873
_cell_length_b 5.7902
_cell_length_c 9.5991
_cell_angle_alpha 90.00
_cell_angle_beta 109.57
_cell_angle_gamma 90.00
_space_group_name_H-M_alt 'P 1 21/m 1'
_space_group_IT_number 11
loop_
_space_group_symop_operation_xyz
'x,y,z'
'-x,-y,-z'
'-x,y+1/2,-z'
'x,-y+1/2,z'
loop_
_atom_site_label
_atom_site_type_symbol
_atom_site_fract_x
_atom_site_fract_y
_atom_site_fract_z
Sr1 Sr 0.1091 0.2500 0.3944
Sr2 Sr 0.1379 0.2500 0.9273
Ca1 Ca 0.4359 0.7500 0.2329
Mg1 Mg 0.3765 0.7500 0.8759
Mg2 Mg 0.3943 0.7500 0.5640
```

Run b
Crystalline Sr2CaMg2 at its relaxed geometry, computed with PBE.

```
data_Sr2CaMg2
_chemical_formula_sum 'Sr4 Ca2 Mg4'
_cell_length_a 6.9735
_cell_length_b 4.2252
_cell_length_c 14.1215
_cell_angle_alpha 90.00
_cell_angle_beta 95.02
_cell_angle_gamma 90.00
_space_group_name_H-M_alt 'P 1 21/m 1'
_space_group_IT_number 11
loop_
_space_group_symop_operation_xyz
'x,y,z'
'-x,-y,-z'
'-x,y+1/2,-z'
'x,-y+1/2,z'
loop_
_atom_site_label
_atom_site_type_symbol
_atom_site_fract_x
_atom_site_fract_y
_atom_site_fract_z
Sr1 Sr 0.0817 0.2500 0.3645
Sr2 Sr 0.2627 0.2500 0.0641
Ca1 Ca 0.4428 0.2500 0.7104
Mg1 Mg 0.2173 0.7500 0.8567
Mg2 Mg 0.3638 0.7500 0.5250
```

Run c
Crystalline Sr2CaMg2 at its relaxed geometry, computed with PBE.

```
data_Sr2CaMg2
_chemical_formula_sum 'Sr4 Ca2 Mg4'
_cell_length_a 4.2479
_cell_length_b 4.2479
_cell_length_c 23.3506
_cell_angle_alpha 90.00
_cell_angle_beta 90.00
_cell_angle_gamma 90.00
_space_group_name_H-M_alt 'I 4/m m m'
_space_group_IT_number 139
_space_group_name_Hall '-I 4 2'
loop_
_atom_site_label
_atom_site_type_symbol
_atom_site_fract_x
_atom_site_fract_y
_atom_site_fract_z
Sr1 Sr 0.0000 0.0000 0.1217
Ca1 Ca 0.0000 0.0000 0.5000
Mg1 Mg 0.0000 0.5000 0.2500
```

Stability summary: most stable run a, least stable run c.